An optimized crystal structure of Pb2WO5. Source: Alexandria, functional PBE with a Hubbard U.

abc: 5.9296 5.9296 9.4125
angles: 90.00 90.00 90.00
With the nearest neighbours (Å) after each atom.
Space group I4mm (No. 107)
One atom of each set of equivalent atoms:
1 Pb 0.0000 0.5000 0.0000 x4  4 O 2.41
2 W 0.0000 0.0000 0.1863 x2  5 O 1.80-1.93
3 O 0.0000 0.0000 0.3774 x2  1 W 1.80
4 O 0.2190 0.2190 0.1231 x8  1 W 1.93

Summary:
**Calculated volume**: 20.7 Å³ per atom
**Raw total energy**: -6.50 eV per atom
**M_tot**: 0.000 Bohr magnetons per cell